! VZn2RhO | the Alexandria database | PBE+U | optimized geometry; values from VASP
&SYSTEM
  ibrav = 0, nat = 5, ntyp = 4
/
ATOMIC_SPECIES
V 50.94 V.upf
Zn 65.41 Zn.upf
Rh 102.91 Rh.upf
O 16.00 O.upf
CELL_PARAMETERS angstrom
4.925 0.000 0.000
0.000 4.925 0.000
0.000 0.000 3.505
ATOMIC_POSITIONS crystal
V 0.000 0.000 0.000
Zn 0.000 0.500 0.000
Zn 0.500 0.000 0.000
Rh 0.500 0.500 0.500
O 0.000 0.000 0.500
! Calculated density in g/cm3: 5.87
! VASP energy in eV per cell: -20.78
! Calculated volume in Å³/cell: 85